This record from Alexandria via LeMat-Bulk describes a relaxed RbTb2Br7 crystal. The functional is PBE.

POSCAR file:
```
RbTb2Br7
1.0
4.5211 -7.2859 0.0000
4.5211 7.2859 0.0000
0.0000 0.0000 5.6249
Rb Tb Br
1 2 7
Cartesian
0.0000 0.0000 0.0000 Rb
4.5211 2.8771 2.8125 Tb
4.5211 -2.8771 2.8125 Tb
1.6977 2.0300 2.8125 Br
4.5211 2.9796 0.0000 Br
1.6977 -2.0300 2.8125 Br
4.5211 0.0000 2.8125 Br
7.3445 2.0300 2.8125 Br
4.5211 -2.9796 0.0000 Br
7.3445 -2.0300 2.8125 Br
```

Calculated values
* calculated density: 4314 kg/m3
* DFT total energy: -4.0161 eV/atom
* symmetry: Cmmm (65)

This record from Alexandria via LeMat-Bulk describes a relaxed Rb2TbBr5 crystal. The functional is PBE.

POSCAR file:
```
Rb2TbBr5
1.0
6.4691 -4.2176 0.0000
6.4691 4.2176 0.0000
-5.4922 0.0000 6.4025
Rb Tb Br
2 1 5
Cartesian
0.0000 0.0000 0.0000 Rb
3.7263 0.0000 3.1975 Rb
-0.7069 0.0000 4.9548 Tb
4.1263 2.2835 6.0962 Br
6.6521 2.2846 3.1676 Br
6.7679 0.0000 0.2666 Br
4.1263 -2.2835 6.0962 Br
6.6521 -2.2846 3.1676 Br
```

Calculated values
* polymorph energy (0 for the lowest one): 68 meV per atom
* calculated density: 3467 kg/m3
* symmetry: Cm (8)

This record from Alexandria via LeMat-Bulk describes a relaxed Rb4TbBr6 crystal. The functional is PBE.

POSCAR file:
```
Rb4TbBr6
1.0
9.6433 0.0000 0.0000
0.0000 9.6433 0.0000
0.0000 0.0000 10.1433
Rb Tb Br
8 2 12
Cartesian
1.7198 3.1018 2.5358 Rb
1.7198 3.1018 7.6075 Rb
3.1018 7.9235 2.5358 Rb
3.1018 7.9235 7.6075 Rb
6.5415 1.7198 2.5358 Rb
6.5415 1.7198 7.6075 Rb
7.9235 6.5415 2.5358 Rb
7.9235 6.5415 7.6075 Rb
0.0000 0.0000 0.0000 Tb
4.8217 4.8217 5.0717 Tb
0.0000 0.0000 2.8627 Br
0.0000 0.0000 7.2806 Br
0.8149 6.8606 0.0000 Br
2.0389 5.6365 5.0717 Br
2.7828 0.8149 0.0000 Br
4.0068 2.0389 5.0717 Br
4.8217 4.8217 2.2090 Br
4.8217 4.8217 7.9344 Br
5.6365 7.6044 5.0717 Br
6.8606 8.8285 0.0000 Br
7.6044 4.0068 5.0717 Br
8.8285 2.7828 0.0000 Br
```

Calculated values
* calculated density: 3451 kg/m3
* DFT total energy: -3.3292 eV/atom
* symmetry: P4/mnc (128)

This record from Alexandria via LeMat-Bulk describes a relaxed RbTbTl2Br6 crystal. The functional is PBE.

POSCAR file:
```
RbTbTl2Br6
1.0
8.2314 0.0000 0.0000
-4.1155 7.1379 0.0000
-4.1146 -2.3758 7.1108
Rb Tb Tl Br
1 1 2 6
Cartesian
0.0000 0.0000 0.0000 Rb
4.1177 2.3819 3.3326 Tb
0.0038 0.0059 6.1193 Tl
0.0013 4.7640 2.7844 Tl
-1.8889 2.3539 1.5472 Br
-3.1700 0.1995 4.8503 Br
-2.6983 4.2940 4.8490 Br
2.9818 0.4700 1.5455 Br
3.0304 4.3198 1.5427 Br
1.7543 2.6567 4.8481 Br
```

Calculated values
* calculated density: 4502 kg/m3
* DFT total energy: -3.5032 eV/atom
* symmetry: P1 (1)

Please write out number 1 again, unchanged.
This record from Alexandria via LeMat-Bulk describes a relaxed RbTb2Br7 crystal. The functional is PBE.

POSCAR file:
```
RbTb2Br7
1.0
4.5211 -7.2859 0.0000
4.5211 7.2859 0.0000
0.0000 0.0000 5.6249
Rb Tb Br
1 2 7
Cartesian
0.0000 0.0000 0.0000 Rb
4.5211 2.8771 2.8125 Tb
4.5211 -2.8771 2.8125 Tb
1.6977 2.0300 2.8125 Br
4.5211 2.9796 0.0000 Br
1.6977 -2.0300 2.8125 Br
4.5211 0.0000 2.8125 Br
7.3445 2.0300 2.8125 Br
4.5211 -2.9796 0.0000 Br
7.3445 -2.0300 2.8125 Br
```

Calculated values
* calculated density: 4314 kg/m3
* DFT total energy: -4.0161 eV/atom
* symmetry: Cmmm (65)

Q: The highest calculated density belongs to which entry?
A: RbTbTl2Br6

What did the second record say?
This record from Alexandria via LeMat-Bulk describes a relaxed Rb2TbBr5 crystal. The functional is PBE.

POSCAR file:
```
Rb2TbBr5
1.0
6.4691 -4.2176 0.0000
6.4691 4.2176 0.0000
-5.4922 0.0000 6.4025
Rb Tb Br
2 1 5
Cartesian
0.0000 0.0000 0.0000 Rb
3.7263 0.0000 3.1975 Rb
-0.7069 0.0000 4.9548 Tb
4.1263 2.2835 6.0962 Br
6.6521 2.2846 3.1676 Br
6.7679 0.0000 0.2666 Br
4.1263 -2.2835 6.0962 Br
6.6521 -2.2846 3.1676 Br
```

Calculated values
* polymorph energy (0 for the lowest one): 68 meV per atom
* calculated density: 3467 kg/m3
* symmetry: Cm (8)